w) Here is a relaxed structure of BeGa2F2 from the Alexandria database. Energies are from GGA-PBE.

Cell lengths 7.4468, 7.4468, 2.7125 Å; angles 90.00, 90.00, 90.00 degrees
Last column: nearest neighbours and their distance in Å.
Sites, in units of the cell vectors:
Be1 0.0000 0.0000 0.0000  2 Be 2.71, 8 Ga 2.96, 4 F 2.98
Be2 0.5000 0.5000 0.0000  2 Be 2.71, 8 Ga 2.96, 4 F 2.98
Ga1 0.2382 0.2618 0.5000  2 F 2.04
Ga2 0.2618 0.7618 0.5000  2 F 2.04
Ga3 0.7382 0.2382 0.5000  2 F 2.04
Ga4 0.7618 0.7382 0.5000  2 F 2.04
F1 0.1175 0.6175 0.0000  2 Ga 2.04
F2 0.3825 0.1175 0.0000  2 Ga 2.04
F3 0.6175 0.8825 0.0000  2 Ga 2.04
F4 0.8825 0.3825 0.0000  2 Ga 2.04

V	15.04	Å³/atom
spin magnetization	0.0	Bohr magnetons per cell
space-group type	P4/mbm, No. 127

***

x) Here is a relaxed structure of BeGa2F2 from the Alexandria database. Energies are from GGA-PBE.

Cell lengths 4.9960, 4.9960, 4.9960 Å; angles 107.97, 107.97, 112.51 degrees
Last column: nearest neighbours and their distance in Å.
Sites, in units of the cell vectors:
Be1 0.0000 0.0000 0.0000  2 F 1.43
Ga1 0.2500 0.7500 0.5000  2 Ga 2.78, 4 F 2.94
Ga2 0.7500 0.2500 0.5000  2 Ga 2.78, 4 F 2.94
F1 0.2572 0.2572 0.0000  1 Be 1.43
F2 0.7428 0.7428 0.0000  1 Be 1.43

V	19.16	Å³/atom
spin magnetization	0.0	Bohr magnetons per cell
space-group type	I4/mmm, No. 139

***

We find x) to be the most stable, with the next structure 0.437 eV/atom higher.